No. 1
Density functional theory data (PBE) for a relaxed structure of KTiCu2Rh.

## Properties
Crystal system ... tetragonal
Space group ... P4/mmm, No. 123

a b c (Å): 4.638 5.236 4.638
angles (deg): 90.00 90.00 90.00
Sites, in units of the cell vectors:
K (0.000, 0.500, 0.000)
Rh (0.500, 0.500, 0.500)
Cu (0.000, 0.000, 0.500)
Cu (0.500, 0.000, 0.000)
Ti (0.000, 0.000, 0.000)

=====

No. 2
Density functional theory data (PBE) for a relaxed structure of K2TlCuRh.

## Properties
Crystal system ... tetragonal
Space group ... P4/mmm, No. 123

a b c (Å): 6.042 6.042 5.198
angles (deg): 90.00 90.00 90.00
Sites, in units of the cell vectors:
Tl (0.000, 0.000, 0.500)
Rh (0.000, 0.000, 0.000)
K (0.000, 0.500, 0.000)
K (0.500, 0.000, 0.000)
Cu (0.500, 0.500, 0.500)

=====

No. 3
Density functional theory data (PBE) for a relaxed structure of KTl2CuRh.

## Properties
Crystal system ... tetragonal
Space group ... P4/mmm, No. 123

a b c (Å): 5.274 5.274 5.078
angles (deg): 90.00 90.00 90.00
Sites, in units of the cell vectors:
Tl (0.000, 0.500, 0.000)
Tl (0.500, 0.000, 0.000)
Rh (0.000, 0.000, 0.000)
K (0.500, 0.500, 0.500)
Cu (0.000, 0.000, 0.500)

=====

No. 4
Density functional theory data (PBE) for a relaxed structure of KY2CuRh.

## Properties
Crystal system ... tetragonal
Space group ... P4/mmm, No. 123

a b c (Å): 5.327 4.861 5.327
angles (deg): 90.00 90.00 90.00
Sites, in units of the cell vectors:
Y (0.000, 0.000, 0.500)
Y (0.500, 0.000, 0.000)
K (0.500, 0.500, 0.500)
Rh (0.000, 0.500, 0.000)
Cu (0.000, 0.000, 0.000)

=====

DFT formation energy in kJ per mole of atoms, matching the order above: 155.15; 54.67; 9.92; 32.98
DOS(E_F) in states/eV/f.u., matching the order above: 4.1; 2.5; 2.2; 5.3